Run w
CsLiHgI2 | PBE | optimized geometry

Unit cell a=5.939 b=5.939 c=5.571 alpha=90.00 beta=90.00 gamma=90.00
Atoms (fractional coordinates):
Cs (0.500, 0.500, 0.500)
Hg (0.000, 0.000, 0.500)
Li (0.000, 0.000, 0.000)
I (0.500, 0.000, 0.000)
I (0.000, 0.500, 0.000)

SG   P4/mmm, No. 123
Crystal system   tetragonal
DOS at the Fermi energy   0.0 states/eV/f.u.
Spin magnetization   0.00 μB per formula unit



Run x
CsLiHgI2 | PBE | optimized geometry

Unit cell a=7.076 b=6.250 c=7.076 alpha=90.00 beta=90.00 gamma=90.00
Atoms (fractional coordinates):
Li (0.500, 0.500, 0.500)
I (0.500, 0.000, 0.000)
Hg (0.000, 0.000, 0.000)
I (0.000, 0.000, 0.500)
Cs (0.000, 0.500, 0.000)

SG   P4/mmm, No. 123
Crystal system   tetragonal
DOS at the Fermi energy   0.4 states/eV/f.u.
Spin magnetization   0.00 μB per formula unit



Stability ranking, top and bottom: run w is the most stable and run x is the least stable.



Run w
CsHgTeI2 | PBE | optimized geometry

Unit cell a=6.275 b=6.275 c=5.688 alpha=90.00 beta=90.00 gamma=90.00
Site moments in Bohr magnetons follow the coordinates.
Atoms (fractional coordinates):
Cs (0.500, 0.500, 0.500)  0.00
I (0.500, 0.000, 0.000)  0.08
Hg (0.000, 0.000, 0.000)  0.01
Te (0.000, 0.000, 0.500)  0.37
I (0.000, 0.500, 0.000)  0.08

SG   P4/mmm, No. 123
Crystal system   tetragonal
DOS at the Fermi energy   5.3 states/eV/f.u.
Spin magnetization   0.94 μB per formula unit



Run x
CsHgTeI2 | PBE | optimized geometry

Unit cell a=6.578 b=6.578 c=5.672 alpha=90.00 beta=90.00 gamma=90.00
Atoms (fractional coordinates):
Hg (0.000, 0.000, 0.500)
I (0.000, 0.500, 0.000)
Cs (0.500, 0.500, 0.500)
Te (0.000, 0.000, 0.000)
I (0.500, 0.000, 0.000)

SG   P4/mmm, No. 123
Crystal system   tetragonal
DOS at the Fermi energy   1.5 states/eV/f.u.
Spin magnetization   0.00 μB per formula unit



Stability ranking, top and bottom: run x is the most stable and run w is the least stable.



Run w
Cs2TiHgI6 | PBE | optimized geometry

Unit cell a=8.254 b=8.254 c=19.203 alpha=77.59 beta=77.59 gamma=60.00
Atoms (fractional coordinates):
Cs (0.693, 0.693, 0.922)
Ti (0.500, 0.500, 0.500)
I (0.287, 0.813, 0.087)
I (0.845, 0.371, 0.413)
I (0.187, 0.713, 0.913)
Cs (0.140, 0.140, 0.581)
Hg (0.415, 0.415, 0.756)
I (0.155, 0.629, 0.587)
I (0.813, 0.287, 0.087)
I (0.371, 0.371, 0.413)
Ti (0.000, 0.000, 0.000)
Hg (0.585, 0.585, 0.244)
I (0.629, 0.155, 0.587)
I (0.187, 0.187, 0.913)
Cs (0.307, 0.307, 0.078)
I (0.713, 0.187, 0.913)
I (0.371, 0.845, 0.413)
I (0.629, 0.629, 0.587)
Cs (0.860, 0.860, 0.419)
I (0.813, 0.813, 0.087)

SG   R-3m, No. 166
Crystal system   trigonal
Spin magnetization   0.00 μB per formula unit



Run x
Cs2TiHgI6 | PBE | optimized geometry

Unit cell a=8.811 b=8.811 c=8.810 alpha=60.00 beta=60.00 gamma=90.00
Atoms (fractional coordinates):
Ti (0.500, 0.500, 0.000)
I (0.277, 0.277, 0.000)
Cs (0.250, 0.750, 0.500)
I (0.277, 0.723, 0.000)
I (0.723, 0.277, 0.000)
Hg (0.000, 0.000, 0.000)
I (0.723, 0.723, 0.554)
I (0.723, 0.723, 0.000)
Cs (0.750, 0.250, 0.500)
I (0.277, 0.277, 0.446)

SG   Fm-3m, No. 225
Crystal system   cubic
DOS at the Fermi energy   0.0 states/eV/f.u.
Spin magnetization   0.00 μB per formula unit



Stability ranking, top and bottom: run w is the most stable and run x is the least stable.



Run w
Cs2InHg2 | PBE | optimized geometry

Unit cell a=10.968 b=10.968 c=3.817 alpha=90.00 beta=90.00 gamma=90.00
Atoms (fractional coordinates):
Cs (0.688, 0.188, 0.000)
In (0.000, 0.000, 0.000)
Hg (0.398, 0.102, 0.500)
Hg (0.898, 0.398, 0.500)
Cs (0.188, 0.312, 0.000)
Hg (0.602, 0.898, 0.500)
Cs (0.812, 0.688, 0.000)
Hg (0.102, 0.602, 0.500)
Cs (0.312, 0.812, 0.000)
In (0.500, 0.500, 0.000)

SG   P4/mbm, No. 127
Crystal system   tetragonal
DOS at the Fermi energy   4.4 states/eV/f.u.
Spin magnetization   0.00 μB per formula unit



Run x
Cs2InHg2 | PBE | optimized geometry

Unit cell a=7.557 b=7.488 c=9.136 alpha=100.26 beta=90.00 gamma=120.31
Atoms (fractional coordinates):
Cs (0.229, 0.697, 0.357)
Hg (0.011, 0.748, 0.998)
Cs (0.771, 0.303, 0.643)
Cs (0.468, 0.697, 0.857)
In (0.092, 0.000, 0.750)
Hg (0.263, 0.252, 0.502)
Hg (0.737, 0.748, 0.498)
In (0.908, 0.000, 0.250)
Cs (0.532, 0.303, 0.143)
Hg (0.989, 0.252, 0.002)

SG   C2/c, No. 15
Crystal system   monoclinic
DOS at the Fermi energy   2.6 states/eV/f.u.
Spin magnetization   0.00 μB per formula unit



Run y
Cs2InHg2 | PBE | optimized geometry

Unit cell a=5.325 b=7.731 c=12.008 alpha=89.41 beta=77.19 gamma=69.86
Atoms (fractional coordinates):
Hg (0.112, 0.214, 0.561)
Cs (0.919, 0.275, 0.888)
Cs (0.656, 0.353, 0.335)
Cs (0.081, 0.725, 0.112)
In (0.645, 0.076, 0.634)
In (0.355, 0.924, 0.366)
Hg (0.619, 0.883, 0.879)
Hg (0.381, 0.117, 0.121)
Hg (0.888, 0.786, 0.439)
Cs (0.344, 0.647, 0.665)

SG   C2/m, No. 12
Crystal system   monoclinic
DOS at the Fermi energy   3.4 states/eV/f.u.
Spin magnetization   0.00 μB per formula unit



Stability ranking, top and bottom: run x is the most stable and run w is the least stable.



Run w
CsIn3Hg | PBE | optimized geometry

Unit cell a=6.841 b=7.624 c=7.624 alpha=120.02 beta=90.00 gamma=90.00
Atoms (fractional coordinates):
In (0.250, 0.811, 0.189)
Hg (0.000, 0.000, 0.000)
Cs (0.250, 0.333, 0.667)
In (0.750, 0.189, 0.811)
In (0.250, 0.377, 0.189)
In (0.250, 0.811, 0.623)
Hg (0.500, 0.000, 0.000)
In (0.750, 0.623, 0.811)
Cs (0.750, 0.667, 0.333)
In (0.750, 0.189, 0.377)

SG   P6_3/mmc, No. 194
Crystal system   hexagonal
DOS at the Fermi energy   2.5 states/eV/f.u.
Spin magnetization   0.00 μB per formula unit



Run x
CsIn3Hg | PBE | optimized geometry

Unit cell a=5.848 b=5.848 c=5.848 alpha=90.00 beta=90.00 gamma=90.00
Atoms (fractional coordinates):
Hg (0.000, 0.000, 0.000)
In (0.500, 0.000, 0.000)
In (0.000, 0.000, 0.500)
Cs (0.500, 0.500, 0.500)
In (0.000, 0.500, 0.000)

SG   Pm-3m, No. 221
Crystal system   cubic
DOS at the Fermi energy   4.7 states/eV/f.u.
Spin magnetization   0.00 μB per formula unit



Run y
CsIn3Hg | PBE | optimized geometry

Unit cell a=5.118 b=5.117 c=7.390 alpha=69.81 beta=69.81 gamma=90.09
Atoms (fractional coordinates):
In (0.782, 0.586, 0.141)
In (0.152, 0.455, 0.402)
In (0.652, 0.955, 0.402)
Hg (0.018, 0.821, 0.670)
Cs (0.404, 0.208, 0.897)

SG   Fmm2, No. 42
Crystal system   orthorhombic
DOS at the Fermi energy   2.4 states/eV/f.u.
Spin magnetization   0.00 μB per formula unit



Run z
CsIn3Hg | PBE | optimized geometry

Unit cell a=6.835 b=6.835 c=6.835 alpha=90.00 beta=90.00 gamma=90.00
Atoms (fractional coordinates):
In (0.500, 0.000, 0.000)
In (0.000, 0.000, 0.500)
Hg (0.500, 0.500, 0.500)
In (0.000, 0.500, 0.000)
Cs (0.000, 0.000, 0.000)

SG   Pm-3m, No. 221
Crystal system   cubic
DOS at the Fermi energy   10.2 states/eV/f.u.
Spin magnetization   0.00 μB per formula unit



Stability ranking, top and bottom: run y is the most stable and run z is the least stable.



Run w
CsIn2Hg6 | PBE | optimized geometry

Unit cell a=3.420 b=9.558 c=9.558 alpha=120.00 beta=89.83 gamma=90.08
Atoms (fractional coordinates):
Hg (0.500, 0.657, 0.000)
Hg (0.500, 0.000, 0.343)
Hg (0.500, 0.343, 0.000)
In (0.000, 0.667, 0.333)
Hg (0.500, 0.657, 0.657)
Cs (0.000, 0.000, 0.000)
In (0.000, 0.333, 0.667)
Hg (0.500, 0.000, 0.657)
Hg (0.500, 0.343, 0.343)

SG   C2/m, No. 12
Crystal system   monoclinic
DOS at the Fermi energy   4.9 states/eV/f.u.
Spin magnetization   0.00 μB per formula unit



Run x
CsIn2Hg6 | PBE | optimized geometry

Unit cell a=10.159 b=10.159 c=10.159 alpha=60.00 beta=60.00 gamma=60.00
Atoms (fractional coordinates):
Hg (0.235, 0.765, 0.765)
Hg (0.765, 0.235, 0.235)
Hg (0.235, 0.765, 0.235)
Hg (0.015, 0.485, 0.485)
In (0.125, 0.125, 0.125)
Cs (0.750, 0.750, 0.750)
Hg (0.015, 0.485, 0.015)
Hg (0.765, 0.235, 0.765)
Hg (0.015, 0.015, 0.485)
Hg (0.235, 0.235, 0.765)
Hg (0.485, 0.015, 0.015)
In (0.625, 0.125, 0.125)
Hg (0.485, 0.015, 0.485)
In (0.125, 0.125, 0.625)
Cs (0.500, 0.500, 0.500)
Hg (0.765, 0.765, 0.235)
In (0.125, 0.625, 0.125)
Hg (0.485, 0.485, 0.015)

SG   Fd-3m, No. 227
Crystal system   cubic
DOS at the Fermi energy   6.0 states/eV/f.u.
Spin magnetization   0.00 μB per formula unit



Stability ranking, top and bottom: run w is the most stable and run x is the least stable.



Run w
CsInHg3 | PBE | optimized geometry

Unit cell a=6.704 b=6.704 c=6.704 alpha=90.00 beta=90.00 gamma=90.00
Atoms (fractional coordinates):
Hg (0.000, 0.000, 0.500)
Hg (0.000, 0.500, 0.000)
Hg (0.500, 0.000, 0.000)
Cs (0.000, 0.000, 0.000)
In (0.500, 0.500, 0.500)

SG   Pm-3m, No. 221
Crystal system   cubic
DOS at the Fermi energy   6.5 states/eV/f.u.
Spin magnetization   0.00 μB per formula unit



Run x
CsInHg3 | PBE | optimized geometry

Unit cell a=5.808 b=5.808 c=5.808 alpha=90.00 beta=90.00 gamma=90.00
Atoms (fractional coordinates):
In (0.000, 0.000, 0.000)
Cs (0.500, 0.500, 0.500)
Hg (0.500, 0.000, 0.000)
Hg (0.000, 0.500, 0.000)
Hg (0.000, 0.000, 0.500)

SG   Pm-3m, No. 221
Crystal system   cubic
DOS at the Fermi energy   3.3 states/eV/f.u.
Spin magnetization   0.00 μB per formula unit



Run y
CsInHg3 | PBE | optimized geometry

Unit cell a=5.608 b=5.608 c=6.826 alpha=114.25 beta=114.25 gamma=90.00
Atoms (fractional coordinates):
Cs (0.019, 0.019, 0.037)
In (0.663, 0.663, 0.327)
Hg (0.759, 0.259, 0.518)
Hg (0.390, 0.390, 0.780)
Hg (0.259, 0.759, 0.518)

SG   I4mm, No. 107
Crystal system   tetragonal
DOS at the Fermi energy   2.1 states/eV/f.u.
Spin magnetization   0.00 μB per formula unit



Stability ranking, top and bottom: run y is the most stable and run w is the least stable.



Run w
CsInHg4 | PBE | optimized geometry

Unit cell a=7.575 b=7.575 c=8.710 alpha=90.00 beta=90.00 gamma=90.00
Atoms (fractional coordinates):
In (0.500, 0.500, 0.000)
Cs (0.500, 0.000, 0.500)
Hg (0.500, 0.500, 0.332)
Hg (0.500, 0.500, 0.668)
In (0.000, 0.000, 0.000)
Cs (0.000, 0.500, 0.500)
Hg (0.640, 0.140, 0.000)
Hg (0.140, 0.360, 0.000)
Hg (0.360, 0.860, 0.000)
Hg (0.000, 0.000, 0.332)
Hg (0.860, 0.640, 0.000)
Hg (0.000, 0.000, 0.668)

SG   P4/mbm, No. 127
Crystal system   tetragonal
DOS at the Fermi energy   3.8 states/eV/f.u.
Spin magnetization   0.00 μB per formula unit



Run x
CsInHg4 | PBE | optimized geometry

Unit cell a=6.489 b=6.489 c=6.489 alpha=60.00 beta=60.00 gamma=60.00
Atoms (fractional coordinates):
Cs (0.250, 0.250, 0.250)
Hg (0.626, 0.626, 0.626)
Hg (0.122, 0.626, 0.626)
In (0.000, 0.000, 0.000)
Hg (0.626, 0.626, 0.122)
Hg (0.626, 0.122, 0.626)

SG   F-43m, No. 216
Crystal system   cubic
DOS at the Fermi energy   5.4 states/eV/f.u.
Spin magnetization   0.00 μB per formula unit



Run y
CsInHg4 | PBE | optimized geometry

Unit cell a=5.338 b=7.648 c=10.521 alpha=90.00 beta=104.70 gamma=90.00
Atoms (fractional coordinates):
In (0.226, 0.750, 0.452)
Hg (0.071, 0.750, 0.143)
Hg (0.682, 0.947, 0.364)
Cs (0.887, 0.750, 0.775)
In (0.774, 0.250, 0.548)
Hg (0.500, 0.500, 0.000)
Hg (0.500, 0.000, 0.000)
Hg (0.318, 0.053, 0.636)
Hg (0.929, 0.250, 0.857)
Hg (0.318, 0.447, 0.636)
Hg (0.682, 0.553, 0.364)
Cs (0.113, 0.250, 0.225)

SG   Cmcm, No. 63
Crystal system   orthorhombic
DOS at the Fermi energy   2.2 states/eV/f.u.
Spin magnetization   0.00 μB per formula unit



Stability ranking, top and bottom: run y is the most stable and run w is the least stable.